Entry 1:
# PmY2Tl2Ag2 (PBE-GGA, optimized geometry)
data_PmY2Tl2Ag2
_chemical_formula_sum 'Pm1 Y2 Tl2 Ag2'
_space_group_name_H-M_alt 'P 1'
_space_group_IT_number 1
_cell_length_a 9.2121
_cell_length_b 9.2121
_cell_length_c 9.2121
_cell_angle_alpha 31.06
_cell_angle_beta 31.06
_cell_angle_gamma 31.06
loop_
_space_group_symop_operation_xyz
'x,y,z'
loop_
_atom_site_label
_atom_site_fract_x
_atom_site_fract_y
_atom_site_fract_z
Pm1 0.0000 0.0000 0.0000
Y1 0.1307 0.1307 0.1307
Y2 0.8693 0.8693 0.8693
Tl1 0.2627 0.2627 0.2627
Tl2 0.7373 0.7373 0.7373
Ag1 0.4266 0.4266 0.4266
Ag2 0.5734 0.5734 0.5734
# - SG: R-3m, No. 166
# - DOS at the Fermi energy: 0.8804 states/eV per atom
# - ΔH_f (0 K): -0.1832 eV per atom
# - Uncorrected energy: -4.20 eV/atom


Entry 2:
# PmTlZnAg (PBE-GGA, optimized geometry)
data_PmTlZnAg
_chemical_formula_sum 'Pm1 Tl1 Zn1 Ag1'
_space_group_name_H-M_alt 'P 1'
_space_group_IT_number 1
_cell_length_a 5.0397
_cell_length_b 5.0397
_cell_length_c 5.0397
_cell_angle_alpha 60.00
_cell_angle_beta 60.00
_cell_angle_gamma 60.00
loop_
_space_group_symop_operation_xyz
'x,y,z'
loop_
_atom_site_label
_atom_site_fract_x
_atom_site_fract_y
_atom_site_fract_z
Pm1 0.0000 0.0000 0.0000
Tl1 0.5000 0.5000 0.5000
Zn1 0.7500 0.7500 0.7500
Ag1 0.2500 0.2500 0.2500
# - SG: F-43m, No. 216
# - DOS at the Fermi energy: 0.4967 states/eV per atom
# - ΔH_f (0 K): -0.2351 eV per atom
# - Uncorrected energy: -3.05 eV/atom


Entry 3:
# Pm2Tm3Ag2 (PBE-GGA, optimized geometry)
data_Pm2Tm3Ag2
_chemical_formula_sum 'Pm2 Tm3 Ag2'
_space_group_name_H-M_alt 'P 1'
_space_group_IT_number 1
_cell_length_a 5.8686
_cell_length_b 5.8686
_cell_length_c 8.1657
_cell_angle_alpha 111.90
_cell_angle_beta 111.90
_cell_angle_gamma 50.61
loop_
_space_group_symop_operation_xyz
'x,y,z'
loop_
_atom_site_label
_atom_site_fract_x
_atom_site_fract_y
_atom_site_fract_z
Pm1 0.1204 0.1204 0.2617
Pm2 0.8796 0.8796 0.7383
Tm1 0.3607 0.3607 0.0425
Tm2 0.5000 0.5000 0.5000
Tm3 0.6393 0.6393 0.9575
Ag1 0.1562 0.1562 0.6753
Ag2 0.8438 0.8438 0.3247
# - SG: C2/m, No. 12
# - DOS at the Fermi energy: 1.0272 states/eV per atom
# - ΔH_f (0 K): -0.0907 eV per atom
# - Uncorrected energy: -4.18 eV/atom


Entry 4:
# PmTm2Ag (PBE-GGA, optimized geometry)
data_PmTm2Ag
_chemical_formula_sum 'Pm1 Tm2 Ag1'
_space_group_name_H-M_alt 'P 1'
_space_group_IT_number 1
_cell_length_a 4.7617
_cell_length_b 4.7617
_cell_length_c 4.8203
_cell_angle_alpha 90.00
_cell_angle_beta 90.00
_cell_angle_gamma 90.00
loop_
_space_group_symop_operation_xyz
'x,y,z'
loop_
_atom_site_label
_atom_site_fract_x
_atom_site_fract_y
_atom_site_fract_z
Pm1 0.0000 0.0000 0.0000
Tm1 0.0000 0.5000 0.5000
Tm2 0.5000 0.0000 0.5000
Ag1 0.5000 0.5000 0.0000
# - SG: P4/mmm, No. 123
# - DOS at the Fermi energy: 1.4434 states/eV per atom
# - Distance to the lowest polymorph of the same formula: 14.96 kJ/mol of atoms
# - ΔH_f (0 K): 0.0161 eV per atom
# - Uncorrected energy: -4.12 eV/atom


Entry 5:
# Pm3Tm2Ag3 (PBE-GGA, optimized geometry)
data_Pm3Tm2Ag3
_chemical_formula_sum 'Pm3 Tm2 Ag3'
_space_group_name_H-M_alt 'P 1'
_space_group_IT_number 1
_cell_length_a 11.4086
_cell_length_b 11.4086
_cell_length_c 11.4086
_cell_angle_alpha 161.46
_cell_angle_beta 152.75
_cell_angle_gamma 33.16
loop_
_space_group_symop_operation_xyz
'x,y,z'
loop_
_atom_site_label
_atom_site_fract_x
_atom_site_fract_y
_atom_site_fract_z
Pm1 0.0000 0.0000 0.0000
Pm2 0.3775 0.8775 0.5000
Pm3 0.6225 0.1225 0.5000
Tm1 0.2325 0.2325 0.0000
Tm2 0.7675 0.7675 0.0000
Ag1 0.1222 0.6222 0.5000
Ag2 0.5000 0.5000 0.0000
Ag3 0.8778 0.3778 0.5000
# - SG: Immm, No. 71
# - DOS at the Fermi energy: 1.0280 states/eV per atom
# - ΔH_f (0 K): -0.2023 eV per atom
# - Uncorrected energy: -4.17 eV/atom


Entry 6:
# Pm2TmAg4 (PBE-GGA, optimized geometry)
data_Pm2TmAg4
_chemical_formula_sum 'Pm2 Tm1 Ag4'
_space_group_name_H-M_alt 'P 1'
_space_group_IT_number 1
_cell_length_a 7.4694
_cell_length_b 7.4694
_cell_length_c 7.4694
_cell_angle_alpha 138.17
_cell_angle_beta 138.17
_cell_angle_gamma 60.64
loop_
_space_group_symop_operation_xyz
'x,y,z'
loop_
_atom_site_label
_atom_site_fract_x
_atom_site_fract_y
_atom_site_fract_z
Pm1 0.2217 0.2217 0.0000
Pm2 0.7783 0.7783 0.0000
Tm1 0.5000 0.5000 0.0000
Ag1 0.1139 0.6139 0.5000
Ag2 0.3861 0.8861 0.5000
Ag3 0.6139 0.1139 0.5000
Ag4 0.8861 0.3861 0.5000
# - SG: I4/mmm, No. 139
# - DOS at the Fermi energy: 0.8817 states/eV per atom
# - ΔH_f (0 K): -0.1101 eV per atom
# - Uncorrected energy: -3.74 eV/atom


Entry 7:
# PmTm2Ag (PBE-GGA, optimized geometry)
data_PmTm2Ag
_chemical_formula_sum 'Pm1 Tm2 Ag1'
_space_group_name_H-M_alt 'P 1'
_space_group_IT_number 1
_cell_length_a 3.5631
_cell_length_b 3.5631
_cell_length_c 8.7764
_cell_angle_alpha 90.00
_cell_angle_beta 90.00
_cell_angle_gamma 90.00
loop_
_space_group_symop_operation_xyz
'x,y,z'
loop_
_atom_site_label
_atom_site_fract_x
_atom_site_fract_y
_atom_site_fract_z
Pm1 0.0000 0.0000 0.0000
Tm1 0.5000 0.5000 0.2917
Tm2 0.5000 0.5000 0.7083
Ag1 0.0000 0.0000 0.5000
# - SG: P4/mmm, No. 123
# - DOS at the Fermi energy: 1.2358 states/eV per atom
# - Distance to the lowest polymorph of the same formula: 0.00 kJ/mol of atoms
# - ΔH_f (0 K): -0.1390 eV per atom
# - Uncorrected energy: -4.28 eV/atom


Entry 8:
# PmTm2Ag (PBE-GGA, optimized geometry)
data_PmTm2Ag
_chemical_formula_sum 'Pm1 Tm2 Ag1'
_space_group_name_H-M_alt 'P 1'
_space_group_IT_number 1
_cell_length_a 10.4816
_cell_length_b 10.4816
_cell_length_c 10.4816
_cell_angle_alpha 19.76
_cell_angle_beta 19.76
_cell_angle_gamma 19.76
loop_
_space_group_symop_operation_xyz
'x,y,z'
loop_
_atom_site_label
_atom_site_fract_x
_atom_site_fract_y
_atom_site_fract_z
Pm1 0.0000 0.0000 0.0000
Tm1 0.5720 0.5720 0.5720
Tm2 0.7607 0.7607 0.7607
Ag1 0.1660 0.1660 0.1660
# - SG: R3m, No. 160
# - DOS at the Fermi energy: 1.2937 states/eV per atom
# - Distance to the lowest polymorph of the same formula: 13.00 kJ/mol of atoms
# - ΔH_f (0 K): -0.0042 eV per atom
# - Uncorrected energy: -4.14 eV/atom


Entry 9:
# Pm4TmAg (PBE-GGA, optimized geometry)
data_Pm4TmAg
_chemical_formula_sum 'Pm4 Tm1 Ag1'
_space_group_name_H-M_alt 'P 1'
_space_group_IT_number 1
_cell_length_a 3.6375
_cell_length_b 3.6375
_cell_length_c 14.0656
_cell_angle_alpha 90.00
_cell_angle_beta 90.00
_cell_angle_gamma 90.00
loop_
_space_group_symop_operation_xyz
'x,y,z'
loop_
_atom_site_label
_atom_site_fract_x
_atom_site_fract_y
_atom_site_fract_z
Pm1 0.0000 0.0000 0.1399
Pm2 0.0000 0.0000 0.8601
Pm3 0.5000 0.5000 0.3248
Pm4 0.5000 0.5000 0.6752
Tm1 0.0000 0.0000 0.5000
Ag1 0.5000 0.5000 0.0000
# - SG: P4/mmm, No. 123
# - DOS at the Fermi energy: 1.3106 states/eV per atom
# - ΔH_f (0 K): -0.0683 eV per atom
# - Uncorrected energy: -4.46 eV/atom


Entry 10:
# Pm2TmAg (PBE-GGA, optimized geometry)
data_Pm2TmAg
_chemical_formula_sum 'Pm2 Tm1 Ag1'
_space_group_name_H-M_alt 'P 1'
_space_group_IT_number 1
_cell_length_a 3.6563
_cell_length_b 3.6563
_cell_length_c 8.7901
_cell_angle_alpha 90.00
_cell_angle_beta 90.00
_cell_angle_gamma 90.00
loop_
_space_group_symop_operation_xyz
'x,y,z'
loop_
_atom_site_label
_atom_site_fract_x
_atom_site_fract_y
_atom_site_fract_z
Pm1 0.0000 0.0000 0.2207
Pm2 0.0000 0.0000 0.7793
Tm1 0.5000 0.5000 0.5000
Ag1 0.5000 0.5000 0.0000
# - SG: P4/mmm, No. 123
# - DOS at the Fermi energy: 1.6170 states/eV per atom
# - Distance to the lowest polymorph of the same formula: 1.33 kJ/mol of atoms
# - ΔH_f (0 K): -0.0995 eV per atom
# - Uncorrected energy: -4.31 eV/atom


Entry 11:
# PmTm5Ag6 (PBE-GGA, optimized geometry)
data_PmTm5Ag6
_chemical_formula_sum 'Pm1 Tm5 Ag6'
_space_group_name_H-M_alt 'P 1'
_space_group_IT_number 1
_cell_length_a 8.1158
_cell_length_b 8.1158
_cell_length_c 7.1654
_cell_angle_alpha 90.00
_cell_angle_beta 90.00
_cell_angle_gamma 143.15
loop_
_space_group_symop_operation_xyz
'x,y,z'
loop_
_atom_site_label
_atom_site_fract_x
_atom_site_fract_y
_atom_site_fract_z
Pm1 0.0000 0.0000 0.0000
Tm1 0.0000 0.0000 0.5000
Tm2 0.3321 0.6679 0.0000
Tm3 0.3345 0.6655 0.5000
Tm4 0.6655 0.3345 0.5000
Tm5 0.6679 0.3321 0.0000
Ag1 0.1705 0.8295 0.2551
Ag2 0.1705 0.8295 0.7449
Ag3 0.5000 0.5000 0.2602
Ag4 0.5000 0.5000 0.7398
Ag5 0.8295 0.1705 0.2551
Ag6 0.8295 0.1705 0.7449
# - SG: Cmmm, No. 65
# - DOS at the Fermi energy: 0.4671 states/eV per atom
# - ΔH_f (0 K): -0.3267 eV per atom
# - Uncorrected energy: -4.01 eV/atom


Entry 12:
# PmTm2Ag (PBE-GGA, optimized geometry)
data_PmTm2Ag
_chemical_formula_sum 'Pm1 Tm2 Ag1'
_space_group_name_H-M_alt 'P 1'
_space_group_IT_number 1
_cell_length_a 10.5995
_cell_length_b 10.5995
_cell_length_c 10.5995
_cell_angle_alpha 19.31
_cell_angle_beta 19.31
_cell_angle_gamma 19.31
loop_
_space_group_symop_operation_xyz
'x,y,z'
loop_
_atom_site_label
_atom_site_fract_x
_atom_site_fract_y
_atom_site_fract_z
Pm1 0.0000 0.0000 0.0000
Tm1 0.2400 0.2400 0.2400
Tm2 0.7600 0.7600 0.7600
Ag1 0.5000 0.5000 0.5000
# - SG: R-3m, No. 166
# - DOS at the Fermi energy: 1.2567 states/eV per atom
# - Distance to the lowest polymorph of the same formula: 11.85 kJ/mol of atoms
# - ΔH_f (0 K): -0.0162 eV per atom
# - Uncorrected energy: -4.15 eV/atom


Entry 13:
# Pm4Tm5Ag (PBE-GGA, optimized geometry)
data_Pm4Tm5Ag
_chemical_formula_sum 'Pm4 Tm5 Ag1'
_space_group_name_H-M_alt 'P 1'
_space_group_IT_number 1
_cell_length_a 3.5693
_cell_length_b 3.5693
_cell_length_c 23.8702
_cell_angle_alpha 90.00
_cell_angle_beta 90.00
_cell_angle_gamma 90.00
loop_
_space_group_symop_operation_xyz
'x,y,z'
loop_
_atom_site_label
_atom_site_fract_x
_atom_site_fract_y
_atom_site_fract_z
Pm1 0.0000 0.0000 0.1051
Pm2 0.0000 0.0000 0.3156
Pm3 0.0000 0.0000 0.6844
Pm4 0.0000 0.0000 0.8949
Tm1 0.5000 0.5000 0.0000
Tm2 0.5000 0.5000 0.2107
Tm3 0.5000 0.5000 0.4230
Tm4 0.5000 0.5000 0.5770
Tm5 0.5000 0.5000 0.7893
Ag1 0.0000 0.0000 0.5000
# - SG: P4/mmm, No. 123
# - DOS at the Fermi energy: 1.2041 states/eV per atom
# - ΔH_f (0 K): -0.0443 eV per atom
# - Uncorrected energy: -4.47 eV/atom